Here is crystalline K3Dy3MnTe8 at its relaxed geometry from Alexandria. Energies are from PBE.

a = 8.7185 Å, b = 8.7185 Å, c = 25.3582 Å
α = 90.00°, β = 90.00°, γ = 120.00°
Space group R-3m (No. 166, hexagonal axes)
Symmetry-distinct sites (fractional):
K: 0.0000 0.5000 0.0000 [9 per cell]
Dy: 0.0000 0.5000 0.5000 [9 per cell]
Mn: 0.0000 0.0000 0.5000 [3 per cell]
Te: 0.0000 0.0000 0.2367 [6 per cell]
Te: 0.0284 0.5142 0.2308 [18 per cell]

Summary:
DOS at the Fermi energy in states/eV per cell: 8.15
ΔE_f (raw) in kJ per mole of atoms: -105